No. 1
Crystalline LaRe2Te at its relaxed geometry. Source: Alexandria via LeMat-Bulk, functional GGA-PBE.

```
4
Lattice="2.9791 -5.2843 0.0000 2.9791 5.2843 0.0000 -1.5078 0.0000 2.6202" Properties=species:S:1:pos:R:3 pbc="T T T"
La 0.0000 0.0000 0.0000
Re 0.7357 2.6421 1.3101
Re 0.7357 -2.6421 1.3101
Te 2.9791 0.0000 0.0000
```

The calculation puts the spin magnetization at 0.000 μB per formula unit. As for the symmetry: No. 12. The formation energy from raw total energies comes out at 0.77 eV per atom. Its uncorrected energy is -0.549 Ry per atom.

No. 2
Crystalline TeAsIrAu at its relaxed geometry. Source: Alexandria via LeMat-Bulk, functional GGA-PBE.

```
4
Lattice="3.6638 -2.0786 0.0000 3.6638 2.0786 0.0000 -0.4927 0.0000 5.5963" Properties=species:S:1:pos:R:3 pbc="T T T"
Te 0.0000 0.0000 0.0000
As 2.0117 0.0000 3.3941
Ir 4.3777 0.0000 4.3718
Au 5.0130 0.0000 1.7071
```

The value obtained for the excess energy over the best structure of this formula in the dataset is 0.059 eV/atom. The calculation puts the spin magnetization at 0.000 μB per formula unit. As for the symmetry: No. 8. The formation energy from raw total energies comes out at -0.02 eV per atom. Its uncorrected energy is -0.367 Ry per atom.

No. 3
Crystalline AcZnAg2 at its relaxed geometry. Source: Alexandria via LeMat-Bulk, functional GGA-PBE.

```
4
Lattice="4.7379 0.0000 0.0000 0.0000 4.7379 0.0000 0.0000 0.0000 4.5593" Properties=species:S:1:pos:R:3 pbc="T T T"
Ac 0.0000 0.0000 0.0000
Zn 2.3689 2.3689 0.0000
Ag 0.0000 2.3689 2.2797
Ag 2.3689 0.0000 2.2797
```

The calculation puts the spin magnetization at 0.000 μB per formula unit. As for the symmetry: No. 123. The calculation puts the formation energy at -0.0110 eV per atom. Its uncorrected energy is -0.204 Ry per atom.

No. 4
Crystalline NiHPtRh2 at its relaxed geometry. Source: Alexandria via LeMat-Bulk, functional GGA-PBE.

```
5
Lattice="3.8764 0.0000 0.0000 0.0000 3.8764 0.0000 0.0000 0.0000 3.9160" Properties=species:S:1:pos:R:3 pbc="T T T"
Ni 0.0000 0.0000 0.0000
H 1.9382 1.9382 1.9580
Pt 1.9382 1.9382 0.0000
Rh 0.0000 1.9382 1.9580
Rh 1.9382 0.0000 1.9580
```

The value obtained for the excess energy over the best structure of this formula in the dataset is 0.059 eV/atom. The calculation puts the spin magnetization at 1.554 μB per formula unit. As for the symmetry: No. 123. Its uncorrected energy is -0.435 Ry per atom.

No. 5
Crystalline La2Al12ZnCo3 at its relaxed geometry. Source: Alexandria via LeMat-Bulk, functional GGA-PBE.

```
18
Lattice="4.3189 2.4935 6.1630 -4.3189 2.4935 6.1630 0.0000 -4.9871 6.1630" Properties=species:S:1:pos:R:3 pbc="T T T"
La 0.0000 0.0000 1.7883
La 0.0000 0.0000 16.7007
Al -2.1633 -1.2490 8.4358
Al 0.0000 -1.7489 6.3048
Al -1.5146 0.8745 6.3048
Al 0.0000 -2.4979 10.0532
Al -2.1633 1.2490 10.0532
Al -1.5146 -0.8745 12.1842
Al 1.5146 0.8745 6.3048
Al 2.1633 -1.2490 8.4358
Al 0.0000 2.4979 8.4358
Al 1.5146 -0.8745 12.1842
Al 0.0000 1.7489 12.1842
Al 2.1633 1.2490 10.0532
Zn 0.0000 0.0000 9.2445
Co -2.1595 -1.2468 6.1630
Co -2.1595 1.2468 12.3260
Co 0.0000 2.4935 6.1630
```

The calculation puts the spin magnetization at 0.000 μB per formula unit. As for the symmetry: No. 166. The calculation puts the formation energy at 0.0635 eV per atom. Its uncorrected energy is -0.311 Ry per atom.